No. 1
{"formula": "CaCrNi2", "functional": "PBE", "state": "relaxed", "cell": [[-1.374, 2.562, -1.023], [-1.212, 0.433, 2.713], [4.136, 4.025, 4.525]], "species": ["Ca", "Ni", "Ni", "Cr"], "fractional_positions": [[0.500, 0.250, 0.250], [0.000, 0.437, 0.563], [0.000, 0.063, 0.937], [0.500, 0.750, 0.750]], "e_tot_ev_per_atom": -5.633, "formation_enthalpy_0k_mev_per_atom": 163, "e_above_lowest_polymorph_mev_per_atom": 59, "volume_a3_per_atom": 15.48, "dos_at_fermi_per_ev_cell": 3.71, "total_magnetization_mub_per_cell": 2.45}

***

No. 2
{"formula": "CaCrNi4", "functional": "PBE", "state": "relaxed", "cell": [[-2.931, -3.940, -0.050], [0.278, -3.314, 3.613], [-3.649, -0.387, 3.263]], "species": ["Ni", "Ni", "Cr", "Ni", "Ni", "Ca"], "fractional_positions": [[0.123, 0.626, 0.626], [0.626, 0.626, 0.626], [0.000, 0.000, 0.000], [0.626, 0.626, 0.123], [0.626, 0.123, 0.626], [0.250, 0.250, 0.250]], "e_tot_ev_per_atom": -5.744, "formation_enthalpy_0k_mev_per_atom": 48, "volume_a3_per_atom": 13.96, "dos_at_fermi_per_ev_cell": 8.21, "total_magnetization_mub_per_cell": 5.35}

***

No. 3
{"formula": "CaCrNi3", "functional": "PBE", "state": "relaxed", "cell": [[-3.028, 0.723, 3.087], [-0.032, -4.275, 0.970], [3.170, 0.647, 2.958]], "species": ["Ni", "Ca", "Cr", "Ni", "Ni"], "fractional_positions": [[0.000, 0.000, 0.500], [0.500, 0.500, 0.500], [0.000, 0.000, 0.000], [0.500, 0.000, 0.000], [0.000, 0.500, 0.000]], "e_tot_ev_per_atom": -5.267, "formation_enthalpy_0k_mev_per_atom": 526, "e_above_lowest_polymorph_mev_per_atom": 0, "volume_a3_per_atom": 16.85, "dos_at_fermi_per_ev_cell": 6.89, "total_magnetization_mub_per_cell": 0.00}

***

No. 4
{"formula": "Ca2CrNi", "functional": "PBE", "state": "relaxed", "cell": [[-2.857, -2.867, 2.895], [1.968, -3.940, 2.317], [0.607, 0.064, 4.939]], "species": ["Cr", "Ni", "Ca", "Ca"], "fractional_positions": [[0.500, 0.500, 0.500], [0.250, 0.250, 0.250], [0.000, 0.000, 0.000], [0.750, 0.750, 0.750]], "e_tot_ev_per_atom": -4.345, "formation_enthalpy_0k_mev_per_atom": 507, "e_above_lowest_polymorph_mev_per_atom": 261, "volume_a3_per_atom": 21.79, "dos_at_fermi_per_ev_cell": 4.49, "total_magnetization_mub_per_cell": 4.42}

***

No. 5
{"formula": "CaCrNi2", "functional": "PBE", "state": "relaxed", "cell": [[0.000, 3.095, 3.095], [3.095, 0.000, 3.095], [3.095, 3.095, 0.000]], "species": ["Ni", "Ni", "Cr", "Ca"], "fractional_positions": [[0.250, 0.250, 0.250], [0.750, 0.750, 0.750], [0.500, 0.500, 0.500], [0.000, 0.000, 0.000]], "e_tot_ev_per_atom": -5.248, "formation_enthalpy_0k_mev_per_atom": 549, "e_above_lowest_polymorph_mev_per_atom": 444, "volume_a3_per_atom": 14.83, "dos_at_fermi_per_ev_cell": 5.65, "total_magnetization_mub_per_cell": 0.00}

***

No. 6
{"formula": "CaCrNi2", "functional": "PBE", "state": "relaxed", "cell": [[-0.190, -2.404, 3.328], [0.033, -4.089, -0.422], [4.976, -2.186, 1.277]], "species": ["Ca", "Ni", "Cr", "Ni"], "fractional_positions": [[0.501, 0.501, 0.497], [0.996, 0.996, 0.011], [0.310, 0.310, 0.071], [0.693, 0.693, 0.921]], "e_tot_ev_per_atom": -5.612, "formation_enthalpy_0k_mev_per_atom": 185, "e_above_lowest_polymorph_mev_per_atom": 80, "volume_a3_per_atom": 18.45, "dos_at_fermi_per_ev_cell": 3.82, "total_magnetization_mub_per_cell": 3.35}